CeDyTlAg after structural relaxation, computed with GGA-PBE.

The structure in POSCAR format:
```
CeDyTlAg
1.0
0.000 3.779 3.779
3.779 0.000 3.779
3.779 3.779 0.000
Ce Dy Tl Ag
1 1 1 1
Direct
0.000 0.000 0.000
0.500 0.500 0.500
0.750 0.750 0.750
0.250 0.250 0.250
```

**M_tot**: 1.33 Bohr magnetons per cell
**DOS(E_F)**: 10.9 states/eV/cell
**Calculated total energy**: -16.617 eV per cell
**ΔH_f (0 K)**: -0.22 eV/atom
**Symmetry**: F-43m, No. 216

---

CeDyTmAg after structural relaxation, computed with GGA-PBE.

The structure in POSCAR format:
```
CeDyTmAg
1.0
0.000 3.733 3.733
3.733 0.000 3.733
3.733 3.733 0.000
Ce Dy Tm Ag
1 1 1 1
Direct
0.000 0.000 0.000
0.750 0.750 0.750
0.250 0.250 0.250
0.500 0.500 0.500
```

**M_tot**: 3.00 Bohr magnetons per cell
**DOS(E_F)**: 8.5 states/eV/cell
**Calculated total energy**: -17.326 eV per cell
**ΔH_f (0 K)**: 0.13 eV/atom
**Symmetry**: F-43m, No. 216

---

CeDyZnAg after structural relaxation, computed with GGA-PBE.

The structure in POSCAR format:
```
CeDyZnAg
1.0
3.590 0.000 0.000
0.000 3.590 0.000
0.000 0.000 7.479
Ce Dy Zn Ag
1 1 1 1
Direct
0.000 0.000 0.000
0.000 0.000 0.483
0.500 0.500 0.252
0.500 0.500 0.719
```

**M_tot**: 1.10 Bohr magnetons per cell
**DOS(E_F)**: 8.4 states/eV/cell
**Calculated total energy**: -15.544 eV per cell
**ΔH_f (0 K)**: -0.22 eV/atom
**Symmetry**: P4mm, No. 99

---

What is the formula in the first record?
CeDyTlAg

---

Number 3 is which compound?
CeDyZnAg